1.
Ti3Ni2Rh PBE optimized geometry; energy relative to the elements = -0.50 eV per atom; relative energy among the computed polymorphs = 0.0000 eV/atom; symmetry = P2/m, No. 10
1.0
4.539 0.000 0.000
0.000 2.886 0.000
-2.189 0.000 6.460
Ti Ni Rh
3 2 1
Direct
0.000 0.000 0.000
0.292 0.000 0.653
0.708 0.000 0.347
0.235 0.500 0.329
0.765 0.500 0.671
0.500 0.500 0.000

2.
AcTb2TmSe6 PBE optimized geometry; formation energy without anion corrections = -1.87 eV/atom; symmetry = R3, No. 146
1.0
3.687 2.129 6.527
-3.687 2.129 6.527
0.000 -4.258 6.527
Ac Tb Tm Se
1 2 1 6
Direct
0.000 0.000 0.000
0.287 0.287 0.287
0.795 0.795 0.795
0.486 0.486 0.486
0.080 0.655 0.429
0.200 0.576 0.885
0.429 0.080 0.655
0.576 0.885 0.200
0.655 0.429 0.080
0.885 0.200 0.576

3.
Zn2CrMo PBE optimized geometry; energy relative to the elements = 0.33 eV per atom; relative energy among the computed polymorphs = 0.1926 eV/atom; symmetry = Fm-3m, No. 225
1.0
6.164 0.000 0.000
0.000 6.164 0.000
0.000 0.000 6.164
Zn Cr Mo
8 4 4
Direct
0.250 0.250 0.250
0.250 0.250 0.750
0.250 0.750 0.250
0.250 0.750 0.750
0.750 0.250 0.250
0.750 0.250 0.750
0.750 0.750 0.250
0.750 0.750 0.750
0.000 0.000 0.000
0.000 0.500 0.500
0.500 0.000 0.500
0.500 0.500 0.000
0.000 0.000 0.500
0.000 0.500 0.000
0.500 0.000 0.000
0.500 0.500 0.500